Here is Cr2CuBr after structural relaxation from Alexandria. Energies are from PBE.

Output
The total energy comes out at -0.20136 hartree per atom. The density of states at the Fermi level is 0.490 states/eV per atom. The space-group type is F-43m. The energy above the most stable polymorph in this dataset is 424 meV/atom.

```
Cr2CuBr
1.0
-3.904 -2.104 -0.997
-0.829 -4.153 1.650
-3.157 -0.579 3.219
Br Cr Cu
1 2 1
direct
0.500 0.500 0.500
0.000 0.000 0.000
0.250 0.250 0.250
0.750 0.750 0.750
```